Entry 1:
{"formula": "CuIrBr2", "functional": "PBE", "state": "relaxed", "lattice_angstrom": [[-3.2019, 1.5668, -0.2344], [0.0328, -2.9921, 1.9514], [1.6097, 4.2634, 6.5100]], "species": ["Br", "Br", "Cu", "Ir"], "fractional_positions": [[0.0000, 0.0000, 0.9158], [0.5000, 0.5000, 0.3505], [0.0000, 0.0000, 0.5224], [0.5000, 0.5000, 0.7112]], "e_form_raw_ev_per_atom": 0.45, "de_polymorph_mev_per_atom": 199.0, "spacegroup": "Cmm2", "e_tot_ev_per_atom": -3.624}



Entry 2:
{"formula": "LiMgBiCl6", "functional": "PBE", "state": "relaxed", "lattice_angstrom": [[6.6468, 0.0000, 0.0000], [-3.3234, 5.7563, 0.0000], [0.0000, 0.0000, 11.9259]], "species": ["Li", "Li", "Mg", "Mg", "Bi", "Bi", "Cl", "Cl", "Cl", "Cl", "Cl", "Cl", "Cl", "Cl", "Cl", "Cl", "Cl", "Cl"], "fractional_positions": [[0.0000, 0.0000, 0.0000], [0.0000, 0.0000, 0.5000], [0.3333, 0.6667, 0.2500], [0.6667, 0.3333, 0.7500], [0.6667, 0.3333, 0.2500], [0.3333, 0.6667, 0.7500], [0.6468, 0.6708, 0.1272], [0.0241, 0.3532, 0.1272], [0.3532, 0.0241, 0.6272], [0.9759, 0.6468, 0.8728], [0.3292, 0.3532, 0.3728], [0.0241, 0.6708, 0.3728], [0.6708, 0.0241, 0.8728], [0.6468, 0.9759, 0.3728], [0.9759, 0.3292, 0.6272], [0.3292, 0.9759, 0.1272], [0.6708, 0.6468, 0.6272], [0.3532, 0.3292, 0.8728]], "e_form_raw_ev_per_atom": -1.43, "spacegroup": "P-31c", "e_tot_ev_per_atom": -3.483}



Entry 3:
{"formula": "MgSbIr2", "functional": "PBE", "state": "relaxed", "lattice_angstrom": [[5.0554, 0.0017, -0.0021], [4.0908, 2.9703, -0.0021], [1.2351, 0.4013, 4.4523]], "species": ["Ir", "Ir", "Mg", "Sb"], "fractional_positions": [[0.0030, 0.0030, 0.9299], [0.2480, 0.2480, 0.3263], [0.5072, 0.5072, 0.4304], [0.7417, 0.7417, 0.8133]], "e_form_raw_ev_per_atom": -0.15, "spacegroup": "Cm", "e_tot_ev_per_atom": -6.008}



Entry 4:
{"formula": "LiSi2Pd4", "functional": "PBE", "state": "relaxed", "lattice_angstrom": [[3.6898, 0.0000, 0.0000], [0.0000, 7.7561, 0.0000], [0.0000, 0.0000, 7.7561]], "species": ["Li", "Li", "Si", "Si", "Si", "Si", "Pd", "Pd", "Pd", "Pd", "Pd", "Pd", "Pd", "Pd"], "fractional_positions": [[0.5000, 0.0000, 0.0000], [0.0000, 0.5000, 0.5000], [0.0000, 0.2480, 0.7520], [0.0000, 0.7520, 0.2480], [0.5000, 0.7480, 0.7480], [0.5000, 0.2520, 0.2520], [0.0000, 0.0578, 0.3124], [0.0000, 0.9422, 0.6876], [0.5000, 0.1876, 0.5578], [0.5000, 0.8124, 0.4422], [0.5000, 0.4422, 0.8124], [0.5000, 0.5578, 0.1876], [0.0000, 0.3124, 0.0578], [0.0000, 0.6876, 0.9422]], "e_form_raw_ev_per_atom": -0.57, "de_polymorph_mev_per_atom": 92.5, "spacegroup": "P4_2/mnm", "e_tot_ev_per_atom": -5.363}



Entry 5:
{"formula": "La3GaBr", "functional": "PBE", "state": "relaxed", "lattice_angstrom": [[-1.1011, -5.9963, 5.9434], [0.4824, -6.1363, -5.9660], [8.4421, -0.2285, 1.4692]], "species": ["La", "La", "La", "La", "La", "La", "La", "La", "La", "La", "La", "La", "Ga", "Ga", "Ga", "Ga", "Br", "Br", "Br", "Br"], "fractional_positions": [[0.5569, 0.8235, 0.0409], [0.9431, 0.9591, 0.1765], [0.4431, 0.1765, 0.9591], [0.0569, 0.0409, 0.8235], [0.8149, 0.4277, 0.0602], [0.6851, 0.9398, 0.5723], [0.1851, 0.5723, 0.9398], [0.3149, 0.0602, 0.4277], [0.5801, 0.5444, 0.6995], [0.9199, 0.3005, 0.4556], [0.4199, 0.4556, 0.3005], [0.0801, 0.6995, 0.5444], [0.8637, 0.7382, 0.8482], [0.6363, 0.1518, 0.2618], [0.1363, 0.2618, 0.1518], [0.3637, 0.8482, 0.7382], [0.2500, 0.7656, 0.2344], [0.7500, 0.2344, 0.7656], [0.2500, 0.3719, 0.6281], [0.7500, 0.6281, 0.3719]], "e_form_raw_ev_per_atom": -0.69, "de_polymorph_mev_per_atom": 0.0, "spacegroup": "C2/c", "e_tot_ev_per_atom": -4.591}



Entry 6:
{"formula": "ZnCoRe3", "functional": "PBE", "state": "relaxed", "lattice_angstrom": [[4.4095, 0.0000, 0.0000], [0.0000, 4.4095, 0.0000], [0.0000, 0.0000, 4.4095]], "species": ["Re", "Re", "Re", "Zn", "Co"], "fractional_positions": [[0.0000, 0.5000, 0.0000], [0.0000, 0.0000, 0.5000], [0.5000, 0.0000, 0.0000], [0.5000, 0.5000, 0.5000], [0.0000, 0.0000, 0.0000]], "de_polymorph_mev_per_atom": 0.0, "formation_enthalpy_0k_mev_per_atom": 1657, "spacegroup": "Pm-3m", "e_tot_ev_per_atom": -7.488}